[1]
This record from the Alexandria database describes a geometry-optimized Ba2W structure. The functional is GGA-PBEsol.

Output
E above lowest polymorph = 0.0 meV per atom
SG = Cmcm (63)

Geometry as POSCAR:
```
Ba2W
1.0
3.561 0.000 0.000
0.000 4.090 0.000
-1.780 0.000 15.857
Ba W
4 2
Direct
0.696 0.750 0.392
0.581 0.250 0.163
0.419 0.750 0.837
0.304 0.250 0.608
0.980 0.250 0.959
0.020 0.750 0.041
```

[2]
This record from the Alexandria database describes a geometry-optimized BaW2 structure. The functional is GGA-PBEsol.

Output
SG = P6/mmm (191)

Geometry as POSCAR:
```
BaW2
1.0
4.204 0.000 0.000
-2.102 3.640 0.000
0.000 0.000 5.400
W Ba
2 1
Direct
0.333 0.667 0.500
0.667 0.333 0.500
0.000 0.000 0.000
```

[3]
This record from the Alexandria database describes a geometry-optimized Ba2W structure. The functional is GGA-PBEsol.

Output
E above lowest polymorph = 613.4 meV per atom
SG = P6_3/mmc (194)

Geometry as POSCAR:
```
Ba2W
1.0
5.535 0.000 0.000
-2.767 4.793 0.000
0.000 0.000 7.409
Ba W
4 2
Direct
0.333 0.667 0.750
0.000 0.000 0.500
0.667 0.333 0.250
0.000 0.000 0.000
0.333 0.667 0.250
0.667 0.333 0.750
```

[4]
This record from the Alexandria database describes a geometry-optimized BaW structure. The functional is GGA-PBEsol.

Output
E above lowest polymorph = 472.4 meV per atom
SG = Cmcm (63)

Geometry as POSCAR:
```
BaW
1.0
-1.367 -1.371 3.935
3.103 -3.925 -0.289
2.749 5.171 2.756
W Ba
2 2
Direct
0.250 0.039 0.078
0.750 0.961 0.922
0.750 0.648 0.297
0.250 0.352 0.703
```

[5]
This record from the Alexandria database describes a geometry-optimized BaW structure. The functional is GGA-PBEsol.

Output
E above lowest polymorph = 971.3 meV per atom
SG = P-6m2 (187)

Geometry as POSCAR:
```
BaW
1.0
3.071 0.000 0.000
-1.536 2.660 0.000
0.000 0.000 5.860
W Ba
1 1
Direct
0.667 0.333 0.500
0.000 0.000 0.000
```

[6]
This record from the Alexandria database describes a geometry-optimized Ba5W structure. The functional is GGA-PBEsol.

Output
SG = C2/m (12)

Geometry as POSCAR:
```
Ba5W
1.0
3.991 0.000 0.000
1.996 7.233 -0.038
1.996 3.075 9.475
Ba W
5 1
Direct
0.125 0.128 0.622
0.500 0.000 0.000
0.875 0.872 0.378
0.165 0.441 0.229
0.835 0.559 0.771
0.500 0.500 0.500
```

[7]
This record from the Alexandria database describes a geometry-optimized BaW structure. The functional is GGA-PBEsol.

Output
E above lowest polymorph = 0.0 meV per atom
SG = P4/nmm (129)

Geometry as POSCAR:
```
BaW
1.0
-1.109 -3.176 0.582
1.418 -1.032 -2.929
8.491 -2.078 4.844
Ba W
2 2
Direct
0.000 0.500 0.807
0.500 0.000 0.193
0.000 0.500 0.451
0.500 0.000 0.549
```

[8]
This record from the Alexandria database describes a geometry-optimized Ba3W structure. The functional is GGA-PBEsol.

Output
SG = P-6m2 (187)

Geometry as POSCAR:
```
Ba3W
1.0
-2.762 -2.467 -0.591
3.417 -1.206 0.965
-3.124 0.650 11.878
Ba W
3 1
Direct
0.333 0.667 0.000
0.000 0.000 0.307
0.000 0.000 0.693
0.333 0.667 0.500
```

[9]
This record from the Alexandria database describes a geometry-optimized Ba3ZnW structure. The functional is GGA-PBEsol.

Output
SG = Pm-3m (221)

Geometry as POSCAR:
```
Ba3ZnW
1.0
-4.455 3.983 1.109
-3.960 -3.641 -2.829
-1.189 -2.796 5.264
Zn Ba W
1 3 1
Direct
0.000 0.000 0.000
0.000 0.500 0.000
0.000 0.000 0.500
0.500 0.000 0.000
0.500 0.500 0.500
```

[10]
This record from the Alexandria database describes a geometry-optimized BaZnW2 structure. The functional is GGA-PBEsol.

Output
SG = Cmm2 (35)

Geometry as POSCAR:
```
BaZnW2
1.0
2.943 -0.002 0.000
-1.059 2.746 0.000
0.000 0.000 9.843
W Ba Zn
2 1 1
Direct
0.500 0.500 0.755
0.000 0.000 0.953
0.500 0.500 0.250
0.000 0.000 0.542
```

[11]
This record from the Alexandria database describes a geometry-optimized BaZnW2 structure. The functional is GGA-PBEsol.

Output
SG = Immm (71)

Geometry as POSCAR:
```
BaZnW2
1.0
-0.227 -2.516 1.150
4.213 -1.518 -2.488
1.144 3.694 4.956
W Zn Ba
2 1 1
Direct
0.215 0.215 0.431
0.785 0.785 0.569
0.500 0.000 0.000
0.000 0.500 0.000
```

[12]
This record from the Alexandria database describes a geometry-optimized BaZn2W structure. The functional is GGA-PBEsol.

Output
E above lowest polymorph = 581.9 meV per atom
SG = F-43m (216)

Geometry as POSCAR:
```
BaZn2W
1.0
4.912 0.000 0.000
2.456 4.254 0.000
2.456 1.418 4.010
W Ba Zn
1 1 2
Direct
0.250 0.250 0.250
0.500 0.500 0.500
0.000 0.000 0.000
0.750 0.750 0.750
```

[13]
This record from the Alexandria database describes a geometry-optimized BaZn2W structure. The functional is GGA-PBEsol.

Output
E above lowest polymorph = 0.0 meV per atom
SG = P4mm (99)

Geometry as POSCAR:
```
BaZn2W
1.0
-1.070 0.299 2.776
1.557 -2.403 0.860
6.741 5.102 2.049
Zn Ba W
2 1 1
Direct
0.000 0.000 0.010
0.500 0.500 0.185
0.000 0.000 0.491
0.500 0.500 0.814
```

[14]
This record from the Alexandria database describes a geometry-optimized BaZnW2 structure. The functional is GGA-PBEsol.

Output
SG = Cmmm (65)

Geometry as POSCAR:
```
BaZnW2
1.0
2.825 0.006 0.000
-0.178 2.820 0.000
0.000 0.000 9.733
Ba W Zn
1 2 1
Direct
0.500 0.500 0.000
0.000 0.000 0.697
0.000 0.000 0.303
0.500 0.500 0.500
```

[15]
This record from the Alexandria database describes a geometry-optimized BaZn2W structure. The functional is GGA-PBEsol.

Output
E above lowest polymorph = 483.1 meV per atom
SG = I-4m2 (119)

Geometry as POSCAR:
```
BaZn2W
1.0
-4.022 -0.738 0.879
0.506 -4.016 -1.057
2.920 1.351 4.543
Zn W Ba
2 1 1
Direct
0.750 0.250 0.500
0.000 0.000 0.000
0.250 0.750 0.500
0.500 0.500 0.000
```

[16]
This record from the Alexandria database describes a geometry-optimized BaZnW2 structure. The functional is GGA-PBEsol.

Output
SG = Pm (6)

Geometry as POSCAR:
```
BaZnW2
1.0
3.246 0.000 0.000
0.000 3.297 0.006
0.000 -0.186 7.903
W Zn Ba
2 1 1
Direct
0.000 0.011 0.082
0.500 0.487 0.237
0.000 0.997 0.430
0.500 0.505 0.750
```

[17]
This record from the Alexandria database describes a geometry-optimized BaZrW2 structure. The functional is GGA-PBEsol.

Output
E above lowest polymorph = 397.6 meV per atom
SG = C2/m (12)

Geometry as POSCAR:
```
BaZrW2
1.0
-1.233 -0.437 -2.595
-2.083 -4.369 2.654
-2.339 5.179 1.402
Zr W Ba
1 2 1
Direct
0.500 0.000 0.000
0.000 0.000 0.500
0.500 0.500 0.500
0.000 0.500 0.000
```

[18]
This record from the Alexandria database describes a geometry-optimized BaZrW2 structure. The functional is GGA-PBEsol.

Output
E above lowest polymorph = 113.3 meV per atom
SG = Cmmm (65)

Geometry as POSCAR:
```
BaZrW2
1.0
-0.142 2.830 -0.711
-2.667 -1.189 -0.097
-1.454 2.444 10.013
Ba W Zr
1 2 1
Direct
0.500 0.500 0.000
0.000 0.000 0.718
0.000 0.000 0.282
0.500 0.500 0.500
```

[19]
This record from the Alexandria database describes a geometry-optimized BaZrW2 structure. The functional is GGA-PBEsol.

Output
E above lowest polymorph = 101.6 meV per atom
SG = C2/m (12)

Geometry as POSCAR:
```
BaZrW2
1.0
3.283 0.000 0.000
-1.641 4.892 0.052
0.000 -0.577 6.576
Zr W Ba
1 2 1
Direct
0.000 0.000 0.500
0.740 0.480 0.636
0.260 0.520 0.364
0.500 0.000 0.000
```

[20]
This record from the Alexandria database describes a geometry-optimized BaZrW2 structure. The functional is GGA-PBEsol.

Output
E above lowest polymorph = 0.0 meV per atom
SG = Cm (8)

Geometry as POSCAR:
```
BaZrW2
1.0
-0.806 2.590 -1.591
0.281 -3.464 -2.675
-7.412 -1.311 1.622
Zr W Ba
1 2 1
Direct
0.523 0.046 0.588
0.256 0.511 0.777
0.979 0.958 0.914
0.742 0.485 0.221
```

For each record above, in turn, the calculated E_form values are 256 394 433 247 343 409 156 460 631 294 413 467 242 422 428 221 473 363 359 320 kJ/mol of formula units.